This record from the Alexandria database describes a relaxed structure of Rb2AgHg4. The functional is PBE-GGA.

Summary:
Total magnetization   0.0 Bohr magnetons per cell
Symmetry   I4/mmm

Structure (CIF):
```
data_Rb2AgHg4
_chemical_formula_sum 'Rb2 Ag1 Hg4'
_cell_length_a 9.9667
_cell_length_b 9.9667
_cell_length_c 9.9667
_cell_angle_alpha 147.86
_cell_angle_beta 147.86
_cell_angle_gamma 46.09
_symmetry_space_group_name_H-M 'P 1'
_symmetry_Int_Tables_number 1
_symmetry_space_group_name_Hall 'P 1'
loop_
_atom_site_label
_atom_site_fract_x
_atom_site_fract_y
_atom_site_fract_z
_atom_site_occupancy
Rb1 0.1406 0.1406 0.0000 1
Rb2 0.8594 0.8594 0.0000 1
Ag1 0.5000 0.5000 0.0000 1
Hg1 0.0000 0.5000 0.5000 1
Hg2 0.3410 0.3410 0.0000 1
Hg3 0.5000 0.0000 0.5000 1
Hg4 0.6590 0.6590 0.0000 1
```

***

This record from the Alexandria database describes a relaxed structure of RbAg3Hg3. The functional is PBE-GGA.

Summary:
Total magnetization   0.0 Bohr magnetons per cell
Symmetry   Pm-3n

Structure (CIF):
```
data_RbAg3Hg3
_chemical_formula_sum 'Rb2 Ag6 Hg6'
_cell_length_a 7.8898
_cell_length_b 7.8898
_cell_length_c 7.8898
_cell_angle_alpha 90.00
_cell_angle_beta 90.00
_cell_angle_gamma 90.00
_symmetry_space_group_name_H-M 'P 1'
_symmetry_Int_Tables_number 1
_symmetry_space_group_name_Hall 'P 1'
loop_
_atom_site_label
_atom_site_fract_x
_atom_site_fract_y
_atom_site_fract_z
_atom_site_occupancy
Rb1 0.0000 0.0000 0.0000 1
Rb2 0.5000 0.5000 0.5000 1
Ag1 0.0000 0.2500 0.5000 1
Ag2 0.0000 0.7500 0.5000 1
Ag3 0.2500 0.5000 0.0000 1
Ag4 0.5000 0.0000 0.2500 1
Ag5 0.5000 0.0000 0.7500 1
Ag6 0.7500 0.5000 0.0000 1
Hg1 0.0000 0.5000 0.2500 1
Hg2 0.0000 0.5000 0.7500 1
Hg3 0.2500 0.0000 0.5000 1
Hg4 0.5000 0.2500 0.0000 1
Hg5 0.5000 0.7500 0.0000 1
Hg6 0.7500 0.0000 0.5000 1
```

***

This record from the Alexandria database describes a relaxed structure of Rb3Ag2Hg2. The functional is PBE-GGA.

Summary:
Total magnetization   0.0 Bohr magnetons per cell
Symmetry   C2/m

Structure (CIF):
```
data_Rb3Ag2Hg2
_chemical_formula_sum 'Rb3 Ag2 Hg2'
_cell_length_a 7.0037
_cell_length_b 7.0037
_cell_length_c 9.3289
_cell_angle_alpha 111.68
_cell_angle_beta 111.68
_cell_angle_gamma 41.90
_symmetry_space_group_name_H-M 'P 1'
_symmetry_Int_Tables_number 1
_symmetry_space_group_name_Hall 'P 1'
loop_
_atom_site_label
_atom_site_fract_x
_atom_site_fract_y
_atom_site_fract_z
_atom_site_occupancy
Rb1 0.0000 0.0000 0.0000 1
Rb2 0.1929 0.1929 0.6465 1
Rb3 0.8071 0.8071 0.3535 1
Ag1 0.2983 0.2983 0.0621 1
Ag2 0.7017 0.7017 0.9379 1
Hg1 0.4909 0.4909 0.6650 1
Hg2 0.5091 0.5091 0.3350 1
```

***

This record from the Alexandria database describes a relaxed structure of Rb3AgHg. The functional is PBE-GGA.

Summary:
Total magnetization   0.0 Bohr magnetons per cell
Symmetry   Pm-3m
Polymorph energy (0 for the lowest one)   0.156 eV/atom

Structure (CIF):
```
data_Rb3AgHg
_chemical_formula_sum 'Rb3 Ag1 Hg1'
_cell_length_a 6.8239
_cell_length_b 6.8239
_cell_length_c 6.8239
_cell_angle_alpha 90.00
_cell_angle_beta 90.00
_cell_angle_gamma 90.00
_symmetry_space_group_name_H-M 'P 1'
_symmetry_Int_Tables_number 1
_symmetry_space_group_name_Hall 'P 1'
loop_
_atom_site_label
_atom_site_fract_x
_atom_site_fract_y
_atom_site_fract_z
_atom_site_occupancy
Rb1 0.0000 0.0000 0.5000 1
Rb2 0.0000 0.5000 0.0000 1
Rb3 0.5000 0.0000 0.0000 1
Ag1 0.0000 0.0000 0.0000 1
Hg1 0.5000 0.5000 0.5000 1
```

***

| no. | energy of formation from the pure elements (eV/atom) |
| --- | --- |
| 1 | -0.11 |
| 2 | 0.15 |
| 3 | -0.10 |
| 4 | 0.08 |